No. 1
A plane-wave DFT calculation with PBE was carried out for crystalline ZnIn16Ga12 at its relaxed geometry.

Cell lengths 10.7201, 17.5753, 9.0526 Å; angles 90.00, 126.12, 90.00 degrees
With the nearest neighbours (Å) after each atom.
Space group Cm (No. 8)
Inequivalent atoms, fractional coordinates:
Zn 0.0000 0.0000 0.0000 [2 per cell]  3 Ga 2.74-2.75, 3 In 2.95-2.98
In 0.0864 0.1717 0.6237 [4 per cell]  6 Ga 3.07-3.42, 4 In 3.28-3.38
In 0.1060 0.5000 0.2514 [2 per cell]  3 Ga 2.94-3.05, 3 In 3.14-3.18
In 0.1406 0.1515 0.0360 [4 per cell]  1 Zn 2.98, 5 Ga 3.00-3.25, 3 In 3.18-3.34
In 0.2073 0.5000 0.9626 [2 per cell]  1 Zn 2.95, 2 Ga 3.10
In 0.2430 0.3426 0.2348 [4 per cell]  4 Ga 3.04-3.32, 4 In 3.11-3.28
In 0.3067 0.3029 0.9504 [4 per cell]  4 Ga 3.00-3.18, 3 In 3.11-3.35
In 0.3152 0.4058 0.6455 [4 per cell]  3 Ga 3.02-3.35, 1 Zn 3.08, 6 In 3.31-3.37
In 0.3207 0.0000 0.6542 [2 per cell]  8 Ga 3.08-3.30, 2 In 3.26-3.37
In 0.3473 0.0000 0.3141 [2 per cell]  1 Zn 3.08, 2 Ga 3.11, 4 In 3.14-3.43
In 0.4952 0.1918 0.3265 [4 per cell]  4 Ga 2.95-3.23, 3 In 3.18-3.29
Ga 0.0317 0.3863 0.6387 [4 per cell]  2 Ga 2.75-2.81, 3 In 2.95-3.02
Ga 0.0405 0.0869 0.2779 [4 per cell]  1 Zn 2.75, 3 Ga 2.75-3.05
Ga 0.1481 0.0000 0.8354 [2 per cell]  3 Ga 2.72-2.78, 1 Zn 2.74
Ga 0.2591 0.2007 0.4370 [4 per cell]  3 Ga 2.75-2.81, 2 In 3.04
Ga 0.3824 0.1074 0.9688 [4 per cell]  2 Ga 2.70-2.78, 1 In 2.94
Ga 0.4570 0.5000 0.4630 [2 per cell]  3 Ga 2.72-2.78
Ga 0.4585 0.2115 0.8145 [4 per cell]  3 Ga 2.70-2.77, 2 In 3.00-3.02

Properties
The density of states at the Fermi level is 19.854 states/eV/cell. Its calculated total energy is -160.6 eV for the cell shown. The value obtained for the volume is 689 Å³/f.u. The value obtained for the magnetic moment is 0.00 μB/cell. The calculation puts the calculated formation energy at 0.038 eV/atom.


No. 2
A plane-wave DFT calculation with PBE was carried out for crystalline Zn4In2Ga5 at its relaxed geometry.

Cell lengths 10.2442, 8.8384, 5.4479 Å; angles 90.00, 119.72, 90.00 degrees
With the nearest neighbours (Å) after each atom.
Space group C2/m (No. 12)
Inequivalent atoms, fractional coordinates:
Zn 0.2357 0.1838 0.2292 [8 per cell]  5 Ga 2.65-2.93, 1 Zn 2.90, 1 In 2.91
In 0.1740 0.0000 0.6645 [4 per cell]  6 Zn 2.91-3.25, 1 In 3.10, 2 Ga 3.12-3.14
Ga 0.0000 0.0000 0.0000 [2 per cell]  4 Zn 2.65
Ga 0.0055 0.3443 0.2517 [8 per cell]  3 Ga 2.69-2.76, 4 Zn 2.72-2.93

Properties
The density of states at the Fermi level is 5.715 states/eV/cell. Its offset from the most stable computed form is 0.06 eV per formula unit. Its calculated total energy is -50.2 eV for the cell shown. The value obtained for the volume is 214 Å³/f.u. The value obtained for the magnetic moment is 0.00 μB/cell. The calculation puts the calculated formation energy at 0.056 eV/atom.


No. 3
A plane-wave DFT calculation with PBE was carried out for crystalline ZnIn5Ga at its relaxed geometry.

Cell lengths 8.8694, 7.2900, 10.8532 Å; angles 90.00, 97.52, 90.00 degrees
With the nearest neighbours (Å) after each atom.
Space group C2/c (No. 15)
Inequivalent atoms, fractional coordinates:
Zn 0.0000 0.0536 0.2500 [4 per cell]  2 Ga 2.74, 3 In 2.84-2.89
In 0.0000 0.3365 0.7500 [4 per cell]  1 Zn 2.84, 2 In 3.16
In 0.1481 0.3756 0.0695 [8 per cell]  2 Ga 3.09-3.43, 6 In 3.10-3.42, 1 Zn 3.43
In 0.2154 0.3213 0.3631 [8 per cell]  1 Zn 2.89, 1 Ga 3.05, 3 In 3.13-3.19
Ga 0.0000 0.0000 0.0000 [4 per cell]  2 Zn 2.74, 2 In 3.05

Properties
The density of states at the Fermi level is 8.458 states/eV/cell. Its calculated total energy is -70.2 eV for the cell shown. The value obtained for the volume is 174 Å³/f.u. The value obtained for the magnetic moment is 0.00 μB/cell. The calculation puts the calculated formation energy at 0.062 eV/atom.


No. 4
A plane-wave DFT calculation with PBE was carried out for crystalline ZnInGa3 at its relaxed geometry.

Cell lengths 6.4858, 11.2488, 5.7450 Å; angles 90.00, 90.00, 90.00 degrees
With the nearest neighbours (Å) after each atom.
Space group Cmcm (No. 63)
Inequivalent atoms, fractional coordinates:
Zn 0.0000 0.0000 0.0000 [4 per cell]  6 Ga 2.62-2.63, 2 Zn 2.87
In 0.0000 0.3334 0.2500 [4 per cell]  12 Ga 3.26-3.27
Ga 0.0000 0.1954 0.7500 [4 per cell]  2 Zn 2.63, 2 Ga 2.69
Ga 0.2068 0.4022 0.7500 [8 per cell]  2 Zn 2.62, 2 Ga 2.68-2.69

Properties
The density of states at the Fermi level is 6.972 states/eV/cell. Its offset from the most stable computed form is 0.40 eV per formula unit. Its calculated total energy is -50.4 eV for the cell shown. The value obtained for the volume is 105 Å³/f.u. The value obtained for the magnetic moment is 0.00 μB/cell. The calculation puts the calculated formation energy at 0.098 eV/atom.


No. 5
A plane-wave DFT calculation with PBE was carried out for crystalline ZnInGa14 at its relaxed geometry.

Cell lengths 5.7009, 5.7009, 9.4445 Å; angles 90.00, 90.00, 90.00 degrees
With the nearest neighbours (Å) after each atom.
Space group P4/mmm (No. 123)
Inequivalent atoms, fractional coordinates:
Zn 0.0000 0.0000 0.0000 [1 per cell]  12 Ga 2.85-3.13
In 0.5000 0.5000 0.0000 [1 per cell]  12 Ga 2.85-3.15
Ga 0.0000 0.0000 0.5000 [1 per cell]  12 Ga 2.85-3.05
Ga 0.0000 0.5000 0.0000 [2 per cell]  2 In 2.85, 2 Zn 2.85, 8 Ga 3.14
Ga 0.0000 0.5000 0.5000 [2 per cell]  12 Ga 2.85-3.07
Ga 0.2473 0.2473 0.2550 [8 per cell]  10 Ga 2.82-3.14, 1 Zn 3.13, 1 In 3.15
Ga 0.5000 0.5000 0.5000 [1 per cell]  12 Ga 2.85-3.08

Properties
The density of states at the Fermi level is 5.518 states/eV/cell. Its calculated total energy is -45.7 eV for the cell shown. The value obtained for the volume is 307 Å³/f.u. The value obtained for the magnetic moment is 0.00 μB/cell. The calculation puts the calculated formation energy at 0.040 eV/atom.


No. 6
A plane-wave DFT calculation with PBE was carried out for crystalline Zn3InGa3 at its relaxed geometry.

Cell lengths 7.1015, 7.1015, 7.1015 Å; angles 90.00, 90.00, 90.00 degrees
With the nearest neighbours (Å) after each atom.
Space group Pm-3n (No. 223)
Inequivalent atoms, fractional coordinates:
Zn 0.0000 0.2500 0.5000 [6 per cell]  4 Ga 2.51
In 0.0000 0.0000 0.0000 [2 per cell]  12 Zn 3.97, 12 Ga 3.97
Ga 0.0000 0.5000 0.2500 [6 per cell]  4 Zn 2.51

Properties
The density of states at the Fermi level is 10.329 states/eV/cell. Its offset from the most stable computed form is 1.92 eV per formula unit. Its calculated total energy is -26.5 eV for the cell shown. The value obtained for the volume is 179 Å³/f.u. The value obtained for the magnetic moment is 0.00 μB/cell. The calculation puts the calculated formation energy at 0.341 eV/atom.


No. 7
A plane-wave DFT calculation with PBE was carried out for crystalline Zn2InGa10 at its relaxed geometry.

Cell lengths 5.7269, 13.2463, 13.3571 Å; angles 90.00, 90.00, 90.00 degrees
With the nearest neighbours (Å) after each atom.
Space group Fmmm (No. 69)
Inequivalent atoms, fractional coordinates:
Zn 0.2500 0.2500 0.0000 [8 per cell]  8 Ga 2.74-2.90, 2 Zn 2.86
In 0.0000 0.0000 0.0000 [4 per cell]  16 Ga 3.30-3.63, 4 Zn 3.61
Ga 0.0000 0.1093 0.3940 [16 per cell]  2 Zn 2.74, 6 Ga 2.80-3.07
Ga 0.0000 0.1768 0.1742 [16 per cell]  7 Ga 2.80-3.14, 2 Zn 2.90
Ga 0.2500 0.0000 0.2500 [8 per cell]  10 Ga 2.80-2.93

Properties
The density of states at the Fermi level is 16.740 states/eV/cell. Its calculated total energy is -139.5 eV for the cell shown. The value obtained for the volume is 253 Å³/f.u. The value obtained for the magnetic moment is 0.00 μB/cell. The calculation puts the calculated formation energy at 0.053 eV/atom.


No. 8
A plane-wave DFT calculation with PBE was carried out for crystalline Zn3In2Ga2 at its relaxed geometry.

Cell lengths 12.0221, 4.0633, 6.6733 Å; angles 90.00, 120.36, 90.00 degrees
With the nearest neighbours (Å) after each atom.
Space group C2/m (No. 12)
Inequivalent atoms, fractional coordinates:
Zn 0.0000 0.0000 0.0000 [2 per cell]  2 Zn 2.58, 4 Ga 2.77
Zn 0.0862 0.0000 0.4404 [4 per cell]  2 Zn 2.57-2.58, 3 Ga 2.62-2.72
In 0.1369 0.5000 0.7973 [4 per cell]  4 Zn 2.95-3.09, 1 Ga 3.00
Ga 0.1648 0.5000 0.2703 [4 per cell]  5 Zn 2.62-2.77

Properties
The density of states at the Fermi level is 3.828 states/eV/cell. Its calculated total energy is -30.1 eV for the cell shown. The value obtained for the volume is 141 Å³/f.u. The value obtained for the magnetic moment is 0.00 μB/cell. The calculation puts the calculated formation energy at 0.042 eV/atom.